Run w
Ti3BPt after structural relaxation. Source: the Alexandria database, functional GGA-PBE.

## Properties
D(E_F): 1.03 states/eV per atom

Structure (POSCAR):
```
Ti3BPt
1.0
-0.9092 4.3122 -1.7449
-3.9473 -1.6559 -2.0354
-2.4614 1.0627 3.9088
Pt Ti B
1 3 1
Direct
0.0000 0.0000 0.0000
0.0000 0.5000 0.0000
0.0000 0.0000 0.5000
0.5000 0.0000 0.0000
0.5000 0.5000 0.5000
```

---

Run x
Ti3BPt after structural relaxation. Source: the Alexandria database, functional GGA-PBE.

## Properties
D(E_F): 1.66 states/eV per atom

Structure (POSCAR):
```
Ti3BPt
1.0
-4.1260 -0.3547 -0.8322
0.8899 -2.2907 -3.4356
-0.1628 -3.5312 2.3122
Ti B Pt
3 1 1
Direct
0.0000 0.5000 0.0000
0.0000 0.0000 0.5000
0.5000 0.0000 0.0000
0.0000 0.0000 0.0000
0.5000 0.5000 0.5000
```

---

Energy above the most stable structure, in eV/atom: run w 1.520; run x 0.000

---

Run w
Ti2B2Pt after structural relaxation. Source: the Alexandria database, functional GGA-PBE.

## Properties
D(E_F): 0.11 states/eV per atom

Structure (POSCAR):
```
Ti2B2Pt
1.0
-0.5956 -4.1130 5.4149
6.2583 -2.4572 -1.1781
1.0450 1.9107 1.5662
Pt Ti B
2 4 4
Direct
0.0000 0.0000 0.0000
0.5000 0.5000 0.0000
0.1368 0.3632 0.0000
0.8632 0.6368 0.0000
0.6368 0.1368 0.0000
0.3632 0.8632 0.0000
0.6707 0.8293 0.5000
0.1707 0.6707 0.5000
0.8293 0.3293 0.5000
0.3293 0.1707 0.5000
```

---

Run x
Ti2B2Pt after structural relaxation. Source: the Alexandria database, functional GGA-PBE.

## Properties
D(E_F): 0.66 states/eV per atom

Structure (POSCAR):
```
Ti2B2Pt
1.0
-1.6147 -2.3338 -0.1069
0.2277 -0.2866 2.8162
-6.8768 2.9253 2.2855
B Ti Pt
2 2 1
Direct
0.2500 0.7500 0.5000
0.7500 0.2500 0.5000
0.6263 0.6263 0.7474
0.3737 0.3737 0.2526
0.0000 0.0000 0.0000
```

---

Energy above the most stable structure, in eV/atom: run w 0.417; run x 0.000